Density functional theory data (PBE-GGA) for a geometry-optimized SmHo5Th4 structure.

Calculated values
Magnetization (μB/f.u.): 0.00
Relative energy among the computed polymorphs (eV/atom): 0.000

```
data_SmHo5Th4
_chemical_formula_sum 'Sm2 Ho10 Th8'
_space_group_name_H-M_alt 'C 1 2/m 1'
_space_group_IT_number 12
_cell_length_a 16.971
_cell_length_b 3.478
_cell_length_c 11.593
_cell_angle_alpha 90.00
_cell_angle_beta 109.71
_cell_angle_gamma 90.00
loop_
_space_group_symop_operation_xyz
'x,y,z'
'-x,-y,-z'
'-x,y,-z'
'x,-y,z'
'x+1/2,y+1/2,z'
'-x+1/2,-y+1/2,-z'
'-x+1/2,y+1/2,-z'
'x+1/2,-y+1/2,z'
loop_
_atom_site_label
_atom_site_fract_x
_atom_site_fract_y
_atom_site_fract_z
Sm1 0.000 0.000 0.000
Ho1 0.000 0.000 0.500
Ho2 0.194 0.500 0.086
Ho3 0.209 0.500 0.615
Th1 0.091 0.500 0.298
Th2 0.097 0.000 0.794
```